(1)
Below is a relaxed structure of HPd2Au2, with properties calculated at the PBE level.

The calculation puts the total magnetic moment at 0.0 μB/f.u. The value obtained for the energy above the lowest structure with this stoichiometry is 261 meV/atom. The calculation puts the density of states at the Fermi level at 0.75 states/eV/atom.

It has space group P4/mbm (No. 127), with a = 5.474 Å, b = 5.474 Å, c = 4.938 Å, α = 90.00°, β = 90.00° and γ = 90.00°. The distinct sites, in fractional coordinates, are H at (0.000, 0.000, 0.000), Pd at (0.172, 0.328, 0.500) and Au at (0.177, 0.677, 0.000).



(2)
Below is a relaxed structure of Na2BiH, with properties calculated at the PBE level.

The calculation puts the total magnetic moment at 0.0 μB/f.u. The value obtained for the energy above the lowest structure with this stoichiometry is 0 meV/atom. The calculation puts the density of states at the Fermi level at 0.22 states/eV/atom.

It has space group R-3m (No. 166, hexagonal axes), with a = 3.5364 Å, b = 3.5364 Å, c = 24.0811 Å, α = 90.00°, β = 90.00° and γ = 120.00°. The distinct sites, in fractional coordinates, are Na at (0.0000, 0.0000, 0.2235), Bi at (0.0000, 0.0000, 0.0000) and H at (0.0000, 0.0000, 0.5000).



(3)
Below is a relaxed structure of Ta2Hg2H, with properties calculated at the PBE level.

The calculation puts the total magnetic moment at 0.0 μB/f.u. The value obtained for the energy above the lowest structure with this stoichiometry is 1077 meV/atom. The calculation puts the density of states at the Fermi level at 0.93 states/eV/atom.

It has space group I4/mmm (No. 139), with a = 3.912 Å, b = 3.912 Å, c = 13.656 Å, α = 90.00°, β = 90.00° and γ = 90.00°. The distinct sites, in fractional coordinates, are Ta at (0.000, 0.000, 0.089), Hg at (0.000, 0.500, 0.250) and H at (0.000, 0.000, 0.500).



Question: Which formula does entry 3 have?
Answer: Ta2Hg2H